Record 1
The following is a DFT calculation (PBE) of an optimized crystal structure of Er12AlIn6.

Values from the calculation:
Energy relative to the elements: 0.021 eV per atom
Total DFT energy (no corrections): -223.6 eV/cell
N(E_F): 0.841 states/eV/atom

abc: 13.5138 13.5138 12.1147
angles: 90.00 90.00 120.00
Space group R-3 (No. 148, hexagonal axes)
Unique sites:
Er (0.0371, 0.8241, 0.3900)
Er (0.0506, 0.8373, 0.8919)
Al (0.0000, 0.0000, 0.0000)
In (0.0492, 0.7853, 0.6477)

---

Record 2
The following is a DFT calculation (PBE) of an optimized crystal structure of Er5Al2In.

Values from the calculation:
Energy relative to the elements: -0.339 eV per atom
Total DFT energy (no corrections): -143.0 eV/cell
N(E_F): 0.825 states/eV/atom

abc: 7.777 7.777 14.214
angles: 90.00 90.00 90.00
Space group I4/mcm (No. 140)
Unique sites:
Er (0.000, 0.000, 0.000)
Er (0.167, 0.333, 0.146)
Al (0.123, 0.377, 0.500)
In (0.000, 0.000, 0.250)

---

Record 3
The following is a DFT calculation (PBE) of an optimized crystal structure of Er4AlIn2.

Values from the calculation:
Energy relative to the elements: 0.017 eV per atom
Total DFT energy (no corrections): -54.7 eV/cell
N(E_F): 1.083 states/eV/atom
Relative energy among the computed polymorphs: 274 meV/atom

abc: 5.605 5.605 13.097
angles: 90.00 90.00 90.00
Space group I4/mmm (No. 139)
Unique sites:
Er (0.000, 0.500, 0.000)
Er (0.000, 0.500, 0.250)
Al (0.000, 0.000, 0.000)
In (0.000, 0.000, 0.375)

---

Record 4
The following is a DFT calculation (PBE) of an optimized crystal structure of Er5AlIn4.

Values from the calculation:
Energy relative to the elements: -0.429 eV per atom
Total DFT energy (no corrections): -41.8 eV/cell
N(E_F): 0.510 states/eV/atom

abc: 3.625 3.625 19.294
angles: 90.00 90.00 90.00
Space group P4/mmm (No. 123)
Unique sites:
Er (0.000, 0.000, 0.000)
Er (0.000, 0.000, 0.206)
Er (0.000, 0.000, 0.409)
Al (0.500, 0.500, 0.500)
In (0.500, 0.500, 0.103)
In (0.500, 0.500, 0.307)

---

Record 5
The following is a DFT calculation (PBE) of an optimized crystal structure of Er6Al2In.

Values from the calculation:
Energy relative to the elements: -0.043 eV per atom
Total DFT energy (no corrections): -76.0 eV/cell
N(E_F): 1.389 states/eV/atom
Relative energy among the computed polymorphs: 259 meV/atom

abc: 5.052 7.151 15.151
angles: 90.00 90.00 90.00
Space group Immm (No. 71)
Unique sites:
Er (0.000, 0.243, 0.000)
Er (0.000, 0.254, 0.330)
Al (0.000, 0.000, 0.167)
In (0.000, 0.000, 0.500)

---

Record 6
The following is a DFT calculation (PBE) of an optimized crystal structure of Er6AlIn2.

Values from the calculation:
Energy relative to the elements: -0.066 eV per atom
Total DFT energy (no corrections): -74.4 eV/cell
N(E_F): 1.324 states/eV/atom

abc: 5.095 7.210 15.284
angles: 90.00 90.00 90.00
Space group Immm (No. 71)
Unique sites:
Er (0.000, 0.241, 0.000)
Er (0.000, 0.254, 0.337)
Al (0.000, 0.500, 0.500)
In (0.000, 0.500, 0.166)

---

Record 7
The following is a DFT calculation (PBE) of an optimized crystal structure of NaErAlIn.

Values from the calculation:
Energy relative to the elements: -0.134 eV per atom
Total DFT energy (no corrections): -51.6 eV/cell
N(E_F): 0.474 states/eV/atom

abc: 7.291 7.291 7.291
angles: 90.00 90.00 90.00
Space group F-43m (No. 216)
Unique sites:
Na (0.000, 0.000, 0.000)
Er (0.000, 0.000, 0.500)
Al (0.250, 0.250, 0.750)
In (0.250, 0.250, 0.250)

---

Record 8
The following is a DFT calculation (PBE) of an optimized crystal structure of ErAlIn2O6.

Values from the calculation:
Total DFT energy (no corrections): -201.5 eV/cell
Raw formation energy: -2.3650 eV per atom
N(E_F): 0.000 states/eV/atom

abc: 5.4200 5.4200 14.4893
angles: 90.00 90.00 120.00
Space group R3 (No. 146, hexagonal axes)
Unique sites:
Er (0.0000, 0.0000, 0.0000)
Al (0.0000, 0.0000, 0.4892)
In (0.0000, 0.0000, 0.2777)
In (0.0000, 0.0000, 0.7858)
O (0.0052, 0.3747, 0.2234)
O (0.0571, 0.6724, 0.0666)

---

Record 9
The following is a DFT calculation (PBE) of an optimized crystal structure of Er2AlInO6.

Values from the calculation:
Total DFT energy (no corrections): -72.7 eV/cell
Raw formation energy: -2.7343 eV per atom
N(E_F): 0.000 states/eV/atom

abc: 5.196 5.196 4.980
angles: 90.00 90.00 90.00
Space group P4mm (No. 99)
Unique sites:
Er (0.000, 0.500, 0.000)
Al (0.000, 0.000, 0.606)
In (0.500, 0.500, 0.571)
O (0.000, 0.000, 0.245)
O (0.237, 0.237, 0.745)
O (0.500, 0.500, 0.161)

---

Record 10
The following is a DFT calculation (PBE) of an optimized crystal structure of ErPaAlIn.

Values from the calculation:
Energy relative to the elements: -0.072 eV per atom
Total DFT energy (no corrections): -83.3 eV/cell
N(E_F): 1.925 states/eV/atom

abc: 7.348 7.348 7.348
angles: 90.00 90.00 90.00
Space group F-43m (No. 216)
Unique sites:
Er (0.000, 0.000, 0.000)
Pa (0.000, 0.000, 0.500)
Al (0.250, 0.250, 0.250)
In (0.250, 0.250, 0.750)

---

Record 11
The following is a DFT calculation (PBE) of an optimized crystal structure of PmErAlIn.

Values from the calculation:
Energy relative to the elements: -0.421 eV per atom
Total DFT energy (no corrections): -17.5 eV/cell
N(E_F): 0.515 states/eV/atom
Relative energy among the computed polymorphs: 0 meV/atom

abc: 3.691 3.691 7.525
angles: 90.00 90.00 90.00
Space group P4mm (No. 99)
Unique sites:
Pm (0.000, 0.000, 0.000)
Er (0.000, 0.000, 0.479)
Al (0.500, 0.500, 0.252)
In (0.500, 0.500, 0.726)

---

Record 12
The following is a DFT calculation (PBE) of an optimized crystal structure of PmErAlIn.

Values from the calculation:
Energy relative to the elements: -0.405 eV per atom
Total DFT energy (no corrections): -69.7 eV/cell
N(E_F): 0.386 states/eV/atom
Relative energy among the computed polymorphs: 17 meV/atom

abc: 7.440 7.440 7.440
angles: 90.00 90.00 90.00
Space group F-43m (No. 216)
Unique sites:
Pm (0.000, 0.000, 0.000)
Er (0.000, 0.000, 0.500)
Al (0.250, 0.250, 0.750)
In (0.250, 0.250, 0.250)

---

Record 13
The following is a DFT calculation (PBE) of an optimized crystal structure of ErPuAlIn.

Values from the calculation:
Energy relative to the elements: -0.227 eV per atom
Total DFT energy (no corrections): -105.1 eV/cell
N(E_F): 1.898 states/eV/atom

abc: 7.361 7.361 7.361
angles: 90.00 90.00 90.00
Space group F-43m (No. 216)
Unique sites:
Er (0.000, 0.000, 0.000)
Pu (0.000, 0.000, 0.500)
Al (0.250, 0.250, 0.750)
In (0.250, 0.250, 0.250)

---

Record 14
The following is a DFT calculation (PBE) of an optimized crystal structure of Er2Al2InRh5.

Values from the calculation:
Energy relative to the elements: -0.858 eV per atom
Total DFT energy (no corrections): -129.4 eV/cell
N(E_F): 0.472 states/eV/atom

abc: 9.908 9.908 3.501
angles: 90.00 90.00 90.00
Space group P4/mbm (No. 127)
Unique sites:
Er (0.175, 0.325, 0.000)
Al (0.122, 0.622, 0.000)
In (0.000, 0.000, 0.000)
Rh (0.000, 0.500, 0.500)
Rh (0.069, 0.790, 0.500)

---

Record 15
The following is a DFT calculation (PBE) of an optimized crystal structure of ErScAlIn.

Values from the calculation:
Energy relative to the elements: -0.388 eV per atom
Total DFT energy (no corrections): -75.7 eV/cell
N(E_F): 0.510 states/eV/atom
Relative energy among the computed polymorphs: 26 meV/atom

abc: 7.142 7.142 7.142
angles: 90.00 90.00 90.00
Space group F-43m (No. 216)
Unique sites:
Er (0.000, 0.000, 0.000)
Sc (0.000, 0.000, 0.500)
Al (0.250, 0.250, 0.250)
In (0.250, 0.250, 0.750)

---

Record 16
The following is a DFT calculation (PBE) of an optimized crystal structure of ErScAlIn.

Values from the calculation:
Energy relative to the elements: -0.414 eV per atom
Total DFT energy (no corrections): -19.0 eV/cell
N(E_F): 0.445 states/eV/atom
Relative energy among the computed polymorphs: 0 meV/atom

abc: 3.361 3.361 8.002
angles: 90.00 90.00 90.00
Space group P4mm (No. 99)
Unique sites:
Er (0.000, 0.000, 0.000)
Sc (0.000, 0.000, 0.472)
Al (0.500, 0.500, 0.248)
In (0.500, 0.500, 0.722)

---

Record 17
The following is a DFT calculation (PBE) of an optimized crystal structure of SmErAlIn.

Values from the calculation:
Energy relative to the elements: -0.420 eV per atom
Total DFT energy (no corrections): -17.4 eV/cell
N(E_F): 0.513 states/eV/atom
Relative energy among the computed polymorphs: 0 meV/atom

abc: 3.675 3.675 7.532
angles: 90.00 90.00 90.00
Space group P4mm (No. 99)
Unique sites:
Sm (0.000, 0.000, 0.000)
Er (0.000, 0.000, 0.478)
Al (0.500, 0.500, 0.250)
In (0.500, 0.500, 0.728)

---

Record 18
The following is a DFT calculation (PBE) of an optimized crystal structure of SmErAlIn.

Values from the calculation:
Energy relative to the elements: -0.405 eV per atom
Total DFT energy (no corrections): -69.5 eV/cell
N(E_F): 0.402 states/eV/atom
Relative energy among the computed polymorphs: 15 meV/atom

abc: 7.421 7.421 7.421
angles: 90.00 90.00 90.00
Space group F-43m (No. 216)
Unique sites:
Sm (0.000, 0.000, 0.000)
Er (0.000, 0.000, 0.500)
Al (0.250, 0.250, 0.750)
In (0.250, 0.250, 0.250)

---

Record 19
The following is a DFT calculation (PBE) of an optimized crystal structure of SrErAlIn.

Values from the calculation:
Energy relative to the elements: -0.251 eV per atom
Total DFT energy (no corrections): -54.9 eV/cell
N(E_F): 0.755 states/eV/atom

abc: 7.650 7.650 7.650
angles: 90.00 90.00 90.00
Space group F-43m (No. 216)
Unique sites:
Sr (0.000, 0.000, 0.000)
Er (0.000, 0.000, 0.500)
Al (0.250, 0.250, 0.750)
In (0.250, 0.250, 0.250)

---

Record 20
The following is a DFT calculation (PBE) of an optimized crystal structure of ErThAlIn.

Values from the calculation:
Energy relative to the elements: -0.268 eV per atom
Total DFT energy (no corrections): -78.1 eV/cell
N(E_F): 1.000 states/eV/atom

abc: 7.487 7.487 7.487
angles: 90.00 90.00 90.00
Space group F-43m (No. 216)
Unique sites:
Er (0.000, 0.000, 0.000)
Th (0.000, 0.000, 0.500)
Al (0.250, 0.250, 0.750)
In (0.250, 0.250, 0.250)